Entry 1:
VASP calculation (PBE) on Np3Co3Ge8 after structural relaxation.

Summary:
SG = No. 12
Formation energy = -0.150 eV per atom

Cell: 4.245 8.175 8.903 Å, 56.75 76.21 74.95°
Last column: magnetic moment on the atom in μB.
Sites, in units of the cell vectors:
Np (0.280, 0.748, 0.692)  3.64
Np (0.720, 0.252, 0.308)  3.64
Np (0.000, 0.000, 0.000)  -3.84
Co (0.000, 0.500, 0.500)  -0.05
Co (0.650, 0.686, 0.014)  0.03
Co (0.350, 0.314, 0.986)  0.03
Ge (0.126, 0.173, 0.574)  0.00
Ge (0.874, 0.827, 0.426)  0.00
Ge (0.824, 0.454, 0.899)  -0.01
Ge (0.176, 0.546, 0.101)  -0.01
Ge (0.524, 0.647, 0.306)  0.01
Ge (0.476, 0.353, 0.694)  0.01
Ge (0.364, 0.018, 0.254)  -0.01
Ge (0.636, 0.982, 0.746)  -0.01



Entry 2:
VASP calculation (PBE) on NpCo6Ge4 after structural relaxation.

Summary:
SG = No. 187
Formation energy = -0.236 eV per atom

Cell: 3.689 6.801 6.801 Å, 120.00 90.00 90.00°
Last column: magnetic moment on the atom in μB.
Sites, in units of the cell vectors:
Np (0.000, 0.000, 0.000)  3.43
Co (0.000, 0.534, 0.069)  -0.03
Co (0.500, 0.592, 0.796)  -0.32
Co (0.000, 0.534, 0.466)  -0.03
Co (0.000, 0.931, 0.466)  -0.03
Co (0.500, 0.204, 0.796)  -0.32
Co (0.500, 0.204, 0.408)  -0.32
Ge (0.500, 0.804, 0.607)  0.00
Ge (0.500, 0.393, 0.196)  0.00
Ge (0.500, 0.804, 0.196)  0.00
Ge (0.000, 0.333, 0.667)  0.01



Number 1: VASP energy -0.52070 Ry/atom. Number 2: VASP energy -0.51212 Ry/atom.